Entry 1:
Here is CrReNi2 after structural relaxation from Alexandria. Energies are from PBEsol.

Lattice parameters (Å, degrees): 3.501 3.501 3.773 90.00 90.00 90.00
Sites, in units of the cell vectors:
Re (0.500, 0.500, 0.500)
Ni (0.000, 0.500, 0.000)
Ni (0.500, 0.000, 0.000)
Cr (0.000, 0.000, 0.500)

Values from the calculation:
Space group: P4/mmm, No. 123
DFT formation energy: 0.04 eV/atom


Entry 2:
Here is ZnSb2Pb after structural relaxation from Alexandria. Energies are from PBEsol.

Lattice parameters (Å, degrees): 3.816 5.398 5.937 117.04 108.74 90.00
Sites, in units of the cell vectors:
Sb (0.028, 0.028, 0.056)
Sb (0.765, 0.265, 0.529)
Zn (0.482, 0.482, 0.964)
Pb (0.225, 0.725, 0.450)

Values from the calculation:
Space group: Imm2, No. 44
Formation energy without anion corrections: 168 meV/atom


Entry 3:
Here is MnAgSe2 after structural relaxation from Alexandria. Energies are from PBEsol.

Lattice parameters (Å, degrees): 3.656 3.656 6.490 106.36 106.36 90.00
Last column: magnetic moment on the atom in μB.
Sites, in units of the cell vectors:
Mn (0.250, 0.750, 0.500)  4.10
Se (0.000, 0.000, 0.000)  0.04
Se (0.750, 0.250, 0.500)  0.03
Ag (0.500, 0.500, 0.000)  0.01

Values from the calculation:
Space group: I-4m2, No. 119
Formation energy without anion corrections: 118 meV/atom


Entry 4:
Here is Y4Sc5 after structural relaxation from Alexandria. Energies are from PBEsol.

Lattice parameters (Å, degrees): 4.760 7.460 7.460 84.16 71.40 71.40
Sites, in units of the cell vectors:
Y (0.325, 0.675, 0.675)
Y (0.000, 0.675, 0.325)
Y (0.000, 0.325, 0.675)
Y (0.675, 0.325, 0.325)
Sc (0.663, 0.000, 0.673)
Sc (0.000, 0.000, 0.000)
Sc (0.663, 0.673, 0.000)
Sc (0.337, 0.000, 0.327)
Sc (0.337, 0.327, 0.000)

Values from the calculation:
Space group: I4/mmm, No. 139
DFT formation energy: 0.06 eV/atom